# 1
CaTlCd2 | Alexandria | PBE-GGA | relaxed; energy relative to the elements = -69 meV per atom; electronic total energy = -19.42 eV per cell; DOS at the Fermi energy = 2.61 states/eV/f.u.; total magnetic moment = 0.0000 μB per atom
1.0
3.831 0.000 0.000
-1.916 3.318 0.000
0.000 0.000 27.929
Ca Tl Cd
3 3 6
Direct
0.000 0.000 0.000
0.333 0.667 0.667
0.667 0.333 0.333
0.000 0.000 0.833
0.333 0.667 0.500
0.667 0.333 0.166
0.000 0.000 0.419
0.000 0.000 0.581
0.333 0.667 0.086
0.333 0.667 0.247
0.667 0.333 0.753
0.667 0.333 0.914



# 2
BeAlSi | Alexandria | PBE-GGA | relaxed; electronic total energy = -49.17 eV per cell; formation energy (no corrections) = 199 meV/atom; DOS at the Fermi energy = 0.88 states/eV/f.u.; total magnetic moment = 0.0000 μB per atom
1.0
10.351 0.000 0.000
0.000 3.517 0.000
-1.397 0.000 4.451
Be Al Si
4 4 4
Direct
0.218 0.000 0.362
0.282 0.500 0.638
0.718 0.500 0.362
0.782 0.000 0.638
0.146 0.000 0.824
0.354 0.500 0.176
0.646 0.500 0.824
0.854 0.000 0.176
0.061 0.500 0.297
0.439 0.000 0.703
0.561 0.000 0.297
0.939 0.500 0.703



# 3
AcPmDyHo | Alexandria | PBE-GGA | relaxed; energy relative to the elements = 118 meV per atom; electronic total energy = -70.26 eV per cell; DOS at the Fermi energy = 7.33 states/eV/f.u.; total magnetic moment = 0.0005 μB per atom
1.0
8.279 0.000 0.000
0.000 8.279 0.000
0.000 0.000 8.279
Ac Pm Dy Ho
4 4 4 4
Direct
0.000 0.000 0.000
0.000 0.500 0.500
0.500 0.000 0.500
0.500 0.500 0.000
0.000 0.000 0.500
0.000 0.500 0.000
0.500 0.000 0.000
0.500 0.500 0.500
0.250 0.250 0.250
0.250 0.750 0.750
0.750 0.250 0.750
0.750 0.750 0.250
0.250 0.250 0.750
0.250 0.750 0.250
0.750 0.250 0.250
0.750 0.750 0.750



# 4
CdCuOs2 | Alexandria | PBE-GGA | relaxed; energy relative to the elements = 651 meV per atom; electronic total energy = -49.73 eV per cell; DOS at the Fermi energy = 3.05 states/eV/f.u.; total magnetic moment = 0.0000 μB per atom
1.0
2.864 0.000 0.000
0.000 4.691 0.000
0.000 0.000 9.160
Cd Cu Os
2 2 4
Direct
0.000 0.000 0.000
0.500 0.500 0.500
0.000 0.500 0.754
0.500 0.000 0.254
0.000 0.000 0.498
0.000 0.500 0.229
0.500 0.000 0.729
0.500 0.500 0.998



# 5
Mg2PtCl | Alexandria | PBE-GGA | relaxed; electronic total energy = -42.85 eV per cell; formation energy (no corrections) = -801 meV/atom; DOS at the Fermi energy = 1.66 states/eV/f.u.; total magnetic moment = 0.0000 μB per atom
1.0
3.457 0.000 0.000
-1.728 2.994 0.000
0.000 0.000 22.688
Mg Pt Cl
6 3 3
Direct
0.000 0.000 0.243
0.000 0.000 0.757
0.333 0.667 0.423
0.333 0.667 0.910
0.667 0.333 0.090
0.667 0.333 0.577
0.000 0.000 0.500
0.333 0.667 0.167
0.667 0.333 0.833
0.000 0.000 0.000
0.333 0.667 0.667
0.667 0.333 0.333



# 6
LaMoPb2 | Alexandria | PBE-GGA | relaxed; energy relative to the elements = 249 meV per atom; electronic total energy = -88.71 eV per cell; DOS at the Fermi energy = 4.39 states/eV/f.u.; total magnetic moment = 0.1836 μB per atom
1.0
7.373 0.000 0.000
0.000 7.373 0.000
0.000 0.000 7.373
La Mo Pb
4 4 8
Direct
0.000 0.000 0.000
0.000 0.500 0.500
0.500 0.000 0.500
0.500 0.500 0.000
0.000 0.000 0.500
0.000 0.500 0.000
0.500 0.000 0.000
0.500 0.500 0.500
0.250 0.250 0.250
0.250 0.250 0.750
0.250 0.750 0.250
0.250 0.750 0.750
0.750 0.250 0.250
0.750 0.250 0.750
0.750 0.750 0.250
0.750 0.750 0.750